Computed, not measured: crystalline Sr3As4Pd2 at its relaxed geometry at the PBE level of DFT.

Structure (POSCAR):
```
Sr3As4Pd2
1.0
4.4724 0.0000 0.0000
-2.2362 5.6685 -1.1327
0.0000 0.3975 8.6020
Sr As Pd
3 4 2
direct
0.0000 0.0000 0.0000
0.3364 0.6728 0.3353
0.6636 0.3272 0.6647
0.9431 0.8862 0.6163
0.0569 0.1138 0.3837
0.2790 0.5580 0.9406
0.7210 0.4420 0.0594
0.3902 0.7804 0.7180
0.6098 0.2196 0.2820
```

Formation enthalpy at 0 K, eV/atom: -0.9299
Total moment, μB/f.u.: 0.00
SG: C2/m